Entry from the Alexandria database: crystalline Pr8Ru3RhCl4 at its relaxed geometry (GGA-PBE).

Values from the calculation:
- E_tot (eV per atom) = -5.983
- calculated density (g/cm3) = 6.25
- magnetic moment (μB per formula unit) = 0.0
- density of states at the Fermi level (states/eV per cell) = 9.54
- SG = C2/m

The structure in POSCAR format:
```
Pr8Ru3RhCl4
1.0
7.0889 -4.0944 0.0000
7.0889 4.0944 0.0000
-4.7337 0.0000 7.6626
Pr Ru Rh Cl
8 3 1 4
Direct
0.2307 0.7378 0.7057
0.2361 0.2361 0.7077
0.2622 0.2622 0.2943
0.2622 0.7693 0.2943
0.7378 0.2307 0.7057
0.7378 0.7378 0.7057
0.7639 0.7639 0.2923
0.7693 0.2622 0.2943
0.0000 0.0000 0.5000
0.0000 0.5000 0.5000
0.5000 0.0000 0.5000
0.5000 0.5000 0.5000
0.0000 0.0000 0.0000
0.0000 0.5000 0.0000
0.5000 0.0000 0.0000
0.5000 0.5000 0.0000
```